No. 1
LiPmO3, optimized geometry, DFT PBE; final energy = -6.277 eV/atom; symmetry = No. 62; density = 6.039 g/cm3
1.0
5.823 0.000 0.000
0.000 7.439 0.000
0.000 0.000 5.077
Li Pm O
4 4 12
direct
0.000 0.000 0.000
0.000 0.500 0.000
0.500 0.000 0.500
0.500 0.500 0.500
0.099 0.250 0.465
0.401 0.750 0.965
0.599 0.250 0.035
0.901 0.750 0.535
0.019 0.250 0.929
0.204 0.545 0.669
0.204 0.955 0.669
0.296 0.045 0.169
0.296 0.455 0.169
0.481 0.750 0.429
0.519 0.250 0.571
0.704 0.545 0.831
0.704 0.955 0.831
0.796 0.045 0.331
0.796 0.455 0.331
0.981 0.750 0.071

No. 2
Li3PmO, optimized geometry, DFT PBE; final energy = -3.509 eV/atom; symmetry = No. 221; density = 3.914 g/cm3
1.0
4.257 0.000 0.000
0.000 4.257 0.000
0.000 0.000 4.257
Li Pm O
3 1 1
direct
0.000 0.000 0.500
0.000 0.500 0.000
0.500 0.000 0.000
0.500 0.500 0.500
0.000 0.000 0.000

No. 3
LiPmO3, optimized geometry, DFT PBE; final energy = -6.225 eV/atom; symmetry = No. 167; density = 6.286 g/cm3
1.0
2.792 1.612 3.911
-2.792 1.612 3.911
0.000 -3.224 3.911
Li Pm O
2 2 6
direct
0.000 0.000 0.000
0.500 0.500 0.500
0.250 0.250 0.250
0.750 0.750 0.750
0.173 0.750 0.327
0.250 0.673 0.827
0.327 0.173 0.750
0.673 0.827 0.250
0.750 0.327 0.173
0.827 0.250 0.673

No. 4
LiPm2O4, optimized geometry, DFT PBE; final energy = -6.978 eV/atom; symmetry = No. 227; density = 5.168 g/cm3
1.0
0.000 4.877 4.877
4.877 0.000 4.877
4.877 4.877 0.000
Li Pm O
2 4 8
direct
0.125 0.125 0.125
0.875 0.875 0.875
0.000 0.500 0.500
0.500 0.000 0.500
0.500 0.500 0.000
0.500 0.500 0.500
0.260 0.260 0.260
0.260 0.260 0.719
0.260 0.719 0.260
0.281 0.740 0.740
0.719 0.260 0.260
0.740 0.281 0.740
0.740 0.740 0.281
0.740 0.740 0.740

No. 5
Li8Pm4O11, optimized geometry, DFT PBE; final energy = -6.109 eV/atom; symmetry = No. 1; density = 4.774 g/cm3; relative energy among the computed polymorphs = 0.025 eV per atom
1.0
5.164 0.000 0.000
1.087 5.762 0.000
1.778 0.486 9.486
Li Pm O
8 4 11
direct
0.000 0.000 0.000
0.018 0.818 0.558
0.377 0.362 0.022
0.399 0.566 0.706
0.549 0.201 0.522
0.603 0.716 0.477
0.719 0.125 0.212
0.873 0.594 0.119
0.138 0.340 0.354
0.329 0.823 0.215
0.550 0.910 0.850
0.961 0.328 0.715
0.087 0.186 0.142
0.100 0.950 0.800
0.235 0.699 0.001
0.282 0.497 0.541
0.457 0.016 0.386
0.501 0.292 0.814
0.524 0.443 0.193
0.673 0.922 0.062
0.716 0.688 0.662
0.902 0.157 0.535
0.910 0.699 0.315

No. 6
Li7PmO6, optimized geometry, DFT PBE; final energy = -5.237 eV/atom; symmetry = No. 146; density = 3.281 g/cm3
1.0
2.832 1.635 5.275
-2.832 1.635 5.275
0.000 -3.270 5.275
Li Pm O
7 1 6
direct
0.000 0.000 0.000
0.152 0.432 0.721
0.162 0.910 0.517
0.432 0.721 0.152
0.517 0.162 0.910
0.721 0.152 0.432
0.910 0.517 0.162
0.648 0.648 0.648
0.037 0.781 0.393
0.240 0.575 0.856
0.393 0.037 0.781
0.575 0.856 0.240
0.781 0.393 0.037
0.856 0.240 0.575

> Which value of density does entry 4 give?

5.168 g/cm3

What did the fifth record say?
Li8Pm4O11, optimized geometry, DFT PBE; final energy = -6.109 eV/atom; symmetry = No. 1; density = 4.774 g/cm3; relative energy among the computed polymorphs = 0.025 eV per atom
1.0
5.164 0.000 0.000
1.087 5.762 0.000
1.778 0.486 9.486
Li Pm O
8 4 11
direct
0.000 0.000 0.000
0.018 0.818 0.558
0.377 0.362 0.022
0.399 0.566 0.706
0.549 0.201 0.522
0.603 0.716 0.477
0.719 0.125 0.212
0.873 0.594 0.119
0.138 0.340 0.354
0.329 0.823 0.215
0.550 0.910 0.850
0.961 0.328 0.715
0.087 0.186 0.142
0.100 0.950 0.800
0.235 0.699 0.001
0.282 0.497 0.541
0.457 0.016 0.386
0.501 0.292 0.814
0.524 0.443 0.193
0.673 0.922 0.062
0.716 0.688 0.662
0.902 0.157 0.535
0.910 0.699 0.315

> Look up the density of the second one.

3.914 g/cm3